# 1
La2TbSn, optimized geometry, DFT PBE; volume = 129.63 Å³/cell; size of the total moment = 0.0 μB/f.u.; E above lowest polymorph = 76.5 meV/atom; raw total energy = -5.00 eV per atom; DOS(E_F) = 4.37 states/eV/f.u.
1.0
-1.3426 -4.0538 0.7661
3.1476 -1.5273 -2.5657
4.2335 -0.3781 5.4188
Sn Tb La
1 1 2
Direct
0.5000 0.5000 0.0000
0.5000 0.5000 0.5000
0.0000 0.0000 0.7743
0.0000 0.0000 0.2257

# 2
HoAl2Ag6, optimized geometry, DFT PBE; volume = 172.69 Å³/cell; size of the total moment = 0.0 μB/f.u.; raw total energy = -3.38 eV per atom; DOS(E_F) = 5.29 states/eV/f.u.
1.0
4.2335 0.0000 0.0000
0.0000 4.2335 0.0000
0.0000 0.0000 9.6353
Ag Al Ho
6 2 1
Direct
0.0000 0.5000 0.2868
0.0000 0.5000 0.7132
0.5000 0.5000 0.5000
0.0000 0.0000 0.5000
0.5000 0.0000 0.7132
0.5000 0.0000 0.2868
0.5000 0.5000 0.8703
0.5000 0.5000 0.1297
0.0000 0.0000 0.0000

# 3
LiTiIn, optimized geometry, DFT PBE; volume = 54.79 Å³/cell; size of the total moment = 0.5 μB/f.u.; E above lowest polymorph = 152.9 meV/atom; raw total energy = -4.20 eV per atom; DOS(E_F) = 2.57 states/eV/f.u.
1.0
-0.3977 -2.3905 -1.7614
2.0750 -2.6503 3.1283
-4.5488 0.6282 0.1744
Li In Ti
1 1 1
Direct
0.8346 0.0000 0.0000
0.8322 0.6667 0.3333
0.3332 0.3333 0.6667

# 4
Tl2NiBr2Cl2, optimized geometry, DFT PBE; volume = 228.90 Å³/cell; size of the total moment = 0.2 μB/f.u.; raw total energy = -3.20 eV per atom; DOS(E_F) = 0.19 states/eV/f.u.
1.0
5.5606 0.0613 -0.7635
0.2791 6.6762 0.0873
1.8768 2.9642 5.9665
Ni Cl Tl Br
1 2 2 2
Direct
0.0000 0.0000 0.0000
0.8221 0.8790 0.3388
0.1779 0.1210 0.6612
0.2453 0.6514 0.6222
0.7547 0.3486 0.3778
0.7657 0.3238 0.8970
0.2343 0.6762 0.1030

# 5
RbTaSb2Pt, optimized geometry, DFT PBE; volume = 154.29 Å³/cell; size of the total moment = 3.0 μB/f.u.; raw total energy = -4.31 eV per atom; DOS(E_F) = 5.63 states/eV/f.u.
1.0
-4.0863 -0.7827 -3.1882
2.8559 -4.0308 -2.6708
-1.9161 -3.5648 3.3311
Rb Ta Pt Sb
1 1 1 2
Direct
0.0000 0.5000 0.0000
0.5000 0.5000 0.5000
0.0000 0.0000 0.0000
0.0000 0.0000 0.5000
0.5000 0.0000 0.0000